# 1
YHg2Sb2 PBE-GGA optimized geometry; N(E_F) = 4.79 states/eV per cell; spin magnetization = 0.000 μB per formula unit; space group = P4/mbm (127); final energy = -3.217 eV/atom; offset from the most stable computed form = 154 meV/atom; formation energy (no corrections) = -0.77 eV/f.u.
1.0
8.029 0.000 0.000
0.000 8.029 0.000
0.000 0.000 4.214
Y Hg Sb
2 4 4
direct
0.000 0.000 0.000
0.500 0.500 0.000
0.167 0.333 0.500
0.333 0.833 0.500
0.667 0.167 0.500
0.833 0.667 0.500
0.136 0.636 0.000
0.364 0.136 0.000
0.636 0.864 0.000
0.864 0.364 0.000

---

# 2
LaSNO2 PBE-GGA optimized geometry; N(E_F) = 0.81 states/eV per cell; spin magnetization = 0.000 μB per formula unit; space group = P4/mmm (123); final energy = -6.468 eV/atom; formation energy (no corrections) = -5.04 eV/f.u.
1.0
4.016 0.000 0.000
0.000 4.016 0.000
0.000 0.000 3.713
La S N O
1 1 1 2
direct
0.000 0.000 0.000
0.500 0.500 0.500
0.500 0.500 0.000
0.000 0.500 0.500
0.500 0.000 0.500